Pr2ScTlO | Alexandria via LeMat-Bulk | PBE | relaxed; space-group type = P4/mmm, No. 123; uncorrected energy = -29.83 eV per cell; E_form (uncorrected) = -1.3220 eV/atom; N(E_F) = 4.085 states/eV/cell; theoretical density = 7.8 Mg/m³
1.0
4.431 0.000 0.000
0.000 5.119 0.000
0.000 0.000 5.119
Pr Tl Sc O
2 1 1 1
direct
0.000 0.000 0.500 Pr
0.000 0.500 0.000 Pr
0.500 0.500 0.500 Tl
0.500 0.000 0.000 Sc
0.000 0.000 0.000 O